(1)
First-principles (meta-GGA SCAN) data for a crystal of LiCdB3 relaxed with PBEsol, as listed in Alexandria via LeMat-Bulk.

Unit cell a=3.860 b=3.860 c=3.860 alpha=90.00 beta=90.00 gamma=90.00
Fractional coordinates of all 5 atoms:
Li 0.000 0.000 0.000
Cd 0.500 0.500 0.500
B 0.000 0.000 0.500
B 0.000 0.500 0.000
B 0.500 0.000 0.000

Output
E_tot (eV/atom): -9.086
E_form (kJ per mole of atoms): 186

(2)
First-principles (meta-GGA SCAN) data for a crystal of LiBe2AuO relaxed with PBEsol, as listed in Alexandria via LeMat-Bulk.

Unit cell a=3.541 b=3.541 c=3.928 alpha=90.00 beta=90.00 gamma=90.00
Fractional coordinates of all 5 atoms:
Li 0.000 0.000 0.000
Be 0.000 0.500 0.500
Be 0.500 0.000 0.500
Au 0.500 0.500 0.000
O 0.000 0.000 0.500

Output
E_tot (eV/atom): -18.278
E_form (uncorrected) (eV/f.u.): -4.9

(3)
First-principles (meta-GGA SCAN) data for a crystal of RbBiAs6H24C8S12N2 relaxed with PBEsol, as listed in Alexandria via LeMat-Bulk.

Unit cell a=10.777 b=10.777 c=10.777 alpha=53.77 beta=53.77 gamma=53.77
Fractional coordinates of all 54 atoms:
Rb 0.000 0.000 0.000
Bi 0.500 0.500 0.500
As 0.075 0.686 0.808
As 0.192 0.925 0.314
As 0.314 0.192 0.925
As 0.686 0.808 0.075
As 0.808 0.075 0.686
As 0.925 0.314 0.192
H 0.075 0.363 0.498
H 0.124 0.331 0.274
H 0.159 0.560 0.221
H 0.221 0.159 0.560
H 0.245 0.331 0.527
H 0.274 0.124 0.331
H 0.331 0.274 0.124
H 0.331 0.527 0.245
H 0.363 0.498 0.075
H 0.440 0.779 0.841
H 0.473 0.755 0.669
H 0.498 0.075 0.363
H 0.502 0.925 0.637
H 0.527 0.245 0.331
H 0.560 0.221 0.159
H 0.637 0.502 0.925
H 0.669 0.473 0.755
H 0.669 0.726 0.876
H 0.726 0.876 0.669
H 0.755 0.669 0.473
H 0.779 0.841 0.440
H 0.841 0.440 0.779
H 0.876 0.669 0.726
H 0.925 0.637 0.502
C 0.205 0.291 0.486
C 0.256 0.256 0.256
C 0.291 0.486 0.205
C 0.486 0.205 0.291
C 0.514 0.795 0.709
C 0.709 0.514 0.795
C 0.744 0.744 0.744
C 0.795 0.709 0.514
S 0.051 0.332 0.917
S 0.083 0.949 0.668
S 0.193 0.670 0.465
S 0.330 0.535 0.807
S 0.332 0.917 0.051
S 0.465 0.193 0.670
S 0.535 0.807 0.330
S 0.668 0.083 0.949
S 0.670 0.465 0.193
S 0.807 0.330 0.535
S 0.917 0.051 0.332
S 0.949 0.668 0.083
N 0.310 0.310 0.310
N 0.690 0.690 0.690

Output
E_tot (eV/atom): -9.837

Number 1: DOS(E_F) 1.9 states/eV/cell. Number 2: DOS(E_F) 0.9 states/eV/cell. Number 3: DOS(E_F) 0.0 states/eV/cell.